Entry from the Alexandria database: Mg3AuBr after structural relaxation (PBE).

## Properties
E_form (uncorrected) = -0.358 eV/atom
ΔE to the lowest computed polymorph = 0 meV/atom

CIF file:
```
data_Mg3AuBr
_cell_length_a 5.2023
_cell_length_b 5.2023
_cell_length_c 5.2023
_cell_angle_alpha 90.00
_cell_angle_beta 90.00
_cell_angle_gamma 90.00
_space_group_name_H-M_alt 'P m -3 m'
_space_group_IT_number 221
_space_group_name_Hall '-P 4 2 3'
loop_
_atom_site_label
_atom_site_type_symbol
_atom_site_fract_x
_atom_site_fract_y
_atom_site_fract_z
Mg1 Mg 0.0000 0.0000 0.5000
Au1 Au 0.0000 0.0000 0.0000
Br1 Br 0.5000 0.5000 0.5000
```

***

Entry from the Alexandria database: Mg2As2Au after structural relaxation (PBE).

## Properties
ΔE_f = -147.4 meV/atom
ΔE to the lowest computed polymorph = 86 meV/atom

CIF file:
```
data_Mg2As2Au
_cell_length_a 8.1085
_cell_length_b 8.1085
_cell_length_c 3.0046
_cell_angle_alpha 90.00
_cell_angle_beta 90.00
_cell_angle_gamma 90.00
_space_group_name_H-M_alt 'P 4/m b m'
_space_group_IT_number 127
_space_group_name_Hall '-P 4 2ab'
loop_
_atom_site_label
_atom_site_type_symbol
_atom_site_fract_x
_atom_site_fract_y
_atom_site_fract_z
Mg1 Mg 0.1477 0.3523 0.0000
As1 As 0.1535 0.6535 0.5000
Au1 Au 0.0000 0.0000 0.0000
```

***

Entry from the Alexandria database: Zn6BiPd12 after structural relaxation (PBE).

## Properties
ΔE_f = -198.1 meV/atom

CIF file:
```
data_Zn6BiPd12
_cell_length_a 11.3881
_cell_length_b 11.3881
_cell_length_c 8.3687
_cell_angle_alpha 90.00
_cell_angle_beta 90.00
_cell_angle_gamma 120.00
_space_group_name_H-M_alt 'R -3 m'
_space_group_IT_number 166
_space_group_name_Hall '-R 3 2"'
loop_
_atom_site_label
_atom_site_type_symbol
_atom_site_fract_x
_atom_site_fract_y
_atom_site_fract_z
Zn1 Zn 0.0973 0.1946 0.2428
Bi1 Bi 0.0000 0.0000 0.5000
Pd1 Pd 0.0000 0.2662 0.5000
Pd2 Pd 0.0956 0.5478 0.5996
```

***

Entry from the Alexandria database: SrCaSnP2O8 after structural relaxation (PBE).

## Properties
E_form (uncorrected) = -1.928 eV/atom
ΔE to the lowest computed polymorph = 583 meV/atom

CIF file:
```
data_SrCaSnP2O8
_cell_length_a 5.3142
_cell_length_b 7.9061
_cell_length_c 11.7821
_cell_angle_alpha 99.62
_cell_angle_beta 90.14
_cell_angle_gamma 92.82
_space_group_name_H-M_alt 'P -1'
_space_group_IT_number 2
_space_group_name_Hall '-P 1'
loop_
_atom_site_label
_atom_site_type_symbol
_atom_site_fract_x
_atom_site_fract_y
_atom_site_fract_z
Sr1 Sr 0.1378 0.0168 0.2014
Ca1 Ca 0.1775 0.5442 0.2262
Sn1 Sn 0.3459 0.2288 0.9305
P1 P 0.2928 0.8992 0.4840
P2 P 0.3416 0.7516 0.6983
O1 O 0.0021 0.0950 0.0071
O2 O 0.0784 0.2755 0.8243
O3 O 0.1021 0.6517 0.7195
O4 O 0.2818 0.8192 0.3575
O5 O 0.3340 0.9436 0.7470
O6 O 0.3436 0.7448 0.5530
O7 O 0.3784 0.4864 0.0322
O8 O 0.4097 0.3208 0.2762
```

***

Entry from the Alexandria database: BaLiCl2 after structural relaxation (PBE).

## Properties
E_form (uncorrected) = -1.504 eV/atom
ΔE to the lowest computed polymorph = 222 meV/atom

CIF file:
```
data_BaLiCl2
_cell_length_a 8.2672
_cell_length_b 8.6973
_cell_length_c 4.7642
_cell_angle_alpha 90.00
_cell_angle_beta 111.07
_cell_angle_gamma 90.00
_space_group_name_H-M_alt 'C 1 2/m 1'
_space_group_IT_number 12
_space_group_name_Hall '-C 2y'
loop_
_atom_site_label
_atom_site_type_symbol
_atom_site_fract_x
_atom_site_fract_y
_atom_site_fract_z
Ba1 Ba 0.0000 0.0000 0.0000
Li1 Li 0.0000 0.5000 0.0000
Cl1 Cl 0.2500 0.2500 0.0000
```

***

Entry from the Alexandria database: Tl2CuPbCl5 after structural relaxation (PBE).

## Properties
E_form (uncorrected) = -0.929 eV/atom

CIF file:
```
data_Tl2CuPbCl5
_cell_length_a 4.2037
_cell_length_b 18.5668
_cell_length_c 13.7823
_cell_angle_alpha 90.00
_cell_angle_beta 90.00
_cell_angle_gamma 90.00
_space_group_name_H-M_alt 'C m c 21'
_space_group_IT_number 36
_space_group_name_Hall 'C 2c -2'
loop_
_atom_site_label
_atom_site_type_symbol
_atom_site_fract_x
_atom_site_fract_y
_atom_site_fract_z
Tl1 Tl 0.0000 0.1035 0.0000
Tl2 Tl 0.0000 0.1241 0.6567
Cu1 Cu 0.0000 0.4529 0.7427
Pb1 Pb 0.0000 0.1922 0.3486
Cl1 Cl 0.0000 0.0289 0.3179
Cl2 Cl 0.0000 0.2951 0.9930
Cl3 Cl 0.0000 0.3204 0.6998
Cl4 Cl 0.0000 0.3425 0.3305
Cl5 Cl 0.0000 0.4951 0.0898
```

***

Entry from the Alexandria database: SiAs2Os after structural relaxation (PBE).

## Properties
E_form (uncorrected) = 0.324 eV/atom

CIF file:
```
data_SiAs2Os
_cell_length_a 5.6685
_cell_length_b 5.6685
_cell_length_c 10.6230
_cell_angle_alpha 90.00
_cell_angle_beta 90.00
_cell_angle_gamma 90.00
_space_group_name_H-M_alt 'I -4 2 d'
_space_group_IT_number 122
_space_group_name_Hall 'I -4 2bw'
loop_
_atom_site_label
_atom_site_type_symbol
_atom_site_fract_x
_atom_site_fract_y
_atom_site_fract_z
Si1 Si 0.0000 0.0000 0.0000
As1 As 0.2457 0.2500 0.6250
Os1 Os 0.0000 0.0000 0.5000
```

***

Entry from the Alexandria database: CdPbCl after structural relaxation (PBE).

## Properties
E_form (uncorrected) = -0.383 eV/atom
ΔE to the lowest computed polymorph = 18 meV/atom

CIF file:
```
data_CdPbCl
_cell_length_a 3.5877
_cell_length_b 3.5877
_cell_length_c 7.3180
_cell_angle_alpha 90.00
_cell_angle_beta 90.00
_cell_angle_gamma 120.00
_space_group_name_H-M_alt 'P 3 m 1'
_space_group_IT_number 156
_space_group_name_Hall 'P 3 -2"'
loop_
_atom_site_label
_atom_site_type_symbol
_atom_site_fract_x
_atom_site_fract_y
_atom_site_fract_z
Cd1 Cd 0.0000 0.0000 0.0000
Pb1 Pb 0.3333 0.6667 0.6498
Cl1 Cl 0.6667 0.3333 0.2474
```

***

Entry from the Alexandria database: Ba3ZnBi after structural relaxation (PBE).

## Properties
ΔE_f = -214.7 meV/atom
ΔE to the lowest computed polymorph = 240 meV/atom

CIF file:
```
data_Ba3ZnBi
_cell_length_a 6.1894
_cell_length_b 6.1894
_cell_length_c 6.1894
_cell_angle_alpha 90.00
_cell_angle_beta 90.00
_cell_angle_gamma 90.00
_space_group_name_H-M_alt 'P m -3 m'
_space_group_IT_number 221
_space_group_name_Hall '-P 4 2 3'
loop_
_atom_site_label
_atom_site_type_symbol
_atom_site_fract_x
_atom_site_fract_y
_atom_site_fract_z
Ba1 Ba 0.0000 0.0000 0.5000
Zn1 Zn 0.0000 0.0000 0.0000
Bi1 Bi 0.5000 0.5000 0.5000
```

***

Entry from the Alexandria database: K5Ti3F14 after structural relaxation (PBE).

## Properties
E_form (uncorrected) = -3.165 eV/atom

CIF file:
```
data_K5Ti3F14
_cell_length_a 7.9476
_cell_length_b 7.9476
_cell_length_c 11.7925
_cell_angle_alpha 90.00
_cell_angle_beta 90.00
_cell_angle_gamma 90.00
_space_group_name_H-M_alt 'P 4/m n c'
_space_group_IT_number 128
_space_group_name_Hall '-P 4 2n'
loop_
_atom_site_label
_atom_site_type_symbol
_atom_site_fract_x
_atom_site_fract_y
_atom_site_fract_z
K1 K 0.0000 0.0000 0.0000
K2 K 0.2338 0.2662 0.2500
Ti1 Ti 0.0000 0.0000 0.5000
Ti2 Ti 0.0000 0.5000 0.0000
F1 F 0.0000 0.0000 0.3314
F2 F 0.0210 0.6797 0.1144
F3 F 0.0333 0.2493 0.5000
```

***

Entry from the Alexandria database: PmNdSmEr after structural relaxation (PBE).

## Properties
ΔE_f = 10.0 meV/atom
ΔE to the lowest computed polymorph = 0 meV/atom

CIF file:
```
data_PmNdSmEr
_cell_length_a 3.6317
_cell_length_b 3.6317
_cell_length_c 11.6927
_cell_angle_alpha 90.00
_cell_angle_beta 90.00
_cell_angle_gamma 120.00
_space_group_name_H-M_alt 'P 3 m 1'
_space_group_IT_number 156
_space_group_name_Hall 'P 3 -2"'
loop_
_atom_site_label
_atom_site_type_symbol
_atom_site_fract_x
_atom_site_fract_y
_atom_site_fract_z
Pm1 Pm 0.0000 0.0000 0.0000
Nd1 Nd 0.3333 0.6667 0.2549
Sm1 Sm 0.6667 0.3333 0.5081
Er1 Er 0.3333 0.6667 0.7533
```

***

Entry from the Alexandria database: LaTbNd3Th after structural relaxation (PBE).

## Properties
ΔE_f = 31.7 meV/atom

CIF file:
```
data_LaTbNd3Th
_cell_length_a 8.1897
_cell_length_b 5.1707
_cell_length_c 10.3051
_cell_angle_alpha 90.00
_cell_angle_beta 108.16
_cell_angle_gamma 90.00
_space_group_name_H-M_alt 'P 1 21/m 1'
_space_group_IT_number 11
_space_group_name_Hall '-P 2yb'
loop_
_atom_site_label
_atom_site_type_symbol
_atom_site_fract_x
_atom_site_fract_y
_atom_site_fract_z
La1 La 0.1804 0.2500 0.2958
Tb1 Tb 0.4977 0.7500 0.8710
Nd1 Nd 0.1735 0.2500 0.7928
Nd2 Nd 0.1746 0.7500 0.0446
Nd3 Nd 0.1810 0.7500 0.5451
Th1 Th 0.4999 0.2500 0.6214
```

***

Which formula does entry 1 have?
Mg3AuBr